Density functional theory data (GGA-PBE) for a relaxed BaPr2Sn crystal.

Cell lengths 5.0285, 5.2137, 5.2137 Å; angles 90.00, 90.00, 90.00 degrees
Element x y z (fractional)
Pr  0.0000  0.0000  0.5000
Pr  0.0000  0.5000  0.0000
Sn  0.5000  0.5000  0.5000
Ba  0.5000  0.0000  0.0000

offset from the most stable computed form: 0 meV per atom
energy relative to the elements: -276 meV/atom

=====

Density functional theory data (GGA-PBE) for a relaxed BaPr2Sn crystal.

Cell lengths 5.2962, 5.2962, 6.9908 Å; angles 67.74, 67.74, 60.00 degrees
Element x y z (fractional)
Ba  0.5000  0.5000  0.5000
Pr  0.7239  0.7239  0.8282
Pr  0.2761  0.2761  0.1718
Sn  0.0000  0.0000  0.0000

offset from the most stable computed form: 107 meV per atom
energy relative to the elements: -169 meV/atom

=====

Density functional theory data (GGA-PBE) for a relaxed BaPrSn crystal.

Cell lengths 5.4360, 5.4360, 9.8157 Å; angles 73.92, 73.92, 60.00 degrees
Element x y z (fractional)
Sn  0.5873  0.5873  0.2380
Sn  0.4127  0.4127  0.7620
Ba  0.1336  0.1336  0.5991
Ba  0.8664  0.8664  0.4009
Pr  0.2922  0.2922  0.1235
Pr  0.7078  0.7078  0.8765

energy relative to the elements: -381 meV/atom

=====

Density functional theory data (GGA-PBE) for a relaxed BaPr2Sn crystal.

Cell lengths 5.3135, 5.3135, 7.3542 Å; angles 68.82, 68.82, 60.00 degrees
Element x y z (fractional)
Pr  0.0503  0.0503  0.8492
Pr  0.2795  0.2795  0.1616
Sn  0.6773  0.6773  0.9681
Ba  0.4930  0.4930  0.5211

offset from the most stable computed form: 90 meV per atom
energy relative to the elements: -186 meV/atom

=====

Density functional theory data (GGA-PBE) for a relaxed BaPrSn crystal.

Cell lengths 3.7021, 3.7021, 9.6272 Å; angles 101.09, 101.09, 90.00 degrees
Element x y z (fractional)
Pr  0.7493  0.7493  0.4986
Ba  0.9593  0.9593  0.9186
Sn  0.1414  0.1414  0.2828

energy relative to the elements: 13 meV/atom

=====

Density functional theory data (GGA-PBE) for a relaxed Ba3PrSn8 crystal.

Cell lengths 8.5993, 8.5993, 8.5993 Å; angles 105.43, 111.53, 111.53 degrees
Element x y z (fractional)
Sn  0.3113  0.3740  0.3740
Sn  0.5423  0.7055  0.7055
Sn  0.0000  0.6260  0.9372
Sn  0.0000  0.2945  0.8368
Sn  0.0000  0.9372  0.6260
Sn  0.6887  0.0628  0.0628
Sn  0.0000  0.8368  0.2945
Sn  0.4577  0.1632  0.1632
Ba  0.0000  0.5000  0.5000
Ba  0.5000  0.2500  0.7500
Ba  0.5000  0.7500  0.2500
Pr  0.0000  0.0000  0.0000

energy relative to the elements: -215 meV/atom